Entry 1:
GGA-PBE RbCe2NiS4, optimized geometry; formation energy (no corrections) = -1609 meV/atom; space-group type = Cmcm, No. 63; density of states at the Fermi level = 1.43 states/eV per atom; total magnetization = 2.07 μB/cell
1.0
2.0086 -7.0703 0.0000
2.0086 7.0703 0.0000
0.0000 0.0000 13.6648
Rb Ce Ni S
2 4 2 8
Cartesian
2.0086 5.6456 10.2486
2.0086 -5.6456 3.4162
2.0086 1.9127 7.6612
2.0086 1.9127 12.8361
2.0086 -1.9127 0.8288
2.0086 -1.9127 6.0036
2.0086 4.7036 3.4162
2.0086 -4.7036 10.2486
0.0000 0.0000 0.0000
0.0000 0.0000 6.8324
2.0086 3.3958 1.5604
2.0086 3.3958 5.2720
2.0086 1.1741 10.2486
2.0086 -1.1741 3.4162
2.0086 -3.3958 8.3928
2.0086 -3.3958 12.1045



Entry 2:
GGA-PBE TaBiSe2, optimized geometry; formation energy (no corrections) = 199 meV/atom; space-group type = I-42d, No. 122; density of states at the Fermi level = 1.09 states/eV per atom; total magnetization = 0.04 μB/cell
1.0
6.7613 0.0000 0.0000
0.0000 6.7613 0.0000
0.0000 0.0000 10.7563
Ta Bi Se
4 4 8
Cartesian
0.0000 0.0000 0.0000
0.0000 3.3807 2.6891
3.3807 0.0000 8.0672
3.3807 3.3807 5.3781
0.0000 0.0000 5.3781
0.0000 3.3807 8.0672
3.3807 0.0000 2.6891
3.3807 3.3807 0.0000
1.2028 1.6903 1.3445
1.6903 4.5834 4.0336
1.6903 5.5585 9.4117
2.1779 1.6903 6.7227
4.5834 5.0710 6.7227
5.0710 1.2028 9.4117
5.0710 2.1779 4.0336
5.5585 5.0710 1.3445